Nd3HoPb2: relaxed, PBE-GGA.

- DOS at the Fermi energy (states/eV per cell) = 13.637
- ρ (g/cm³) = 9.1
- ΔE_f (meV/atom) = -394
- distance to the lowest polymorph of the same formula (meV/atom) = 43

a b c (Å): 4.995 9.038 9.699
angles (deg): 117.77 104.92 90.00
Element x y z (fractional)
Pb (0.351, 0.851, 0.702)
Pb (0.649, 0.649, 0.298)
Pb (0.649, 0.149, 0.298)
Pb (0.351, 0.351, 0.702)
Nd (0.176, 0.426, 0.352)
Nd (0.176, 0.926, 0.352)
Nd (0.824, 0.074, 0.648)
Nd (0.500, 0.750, 0.000)
Nd (0.824, 0.574, 0.648)
Nd (0.500, 0.250, 0.000)
Ho (0.000, 0.000, 0.000)
Ho (0.000, 0.500, 0.000)